(1)
# Mn5PbS6O24

A relaxed structure of Mn5PbS6O24 (PBE with a Hubbard U, the Alexandria database).

Values from the calculation:
The calculation puts the total energy at -719.0 eV for the cell shown.

a b c (Å): 14.8895 14.8895 7.5758
angles (deg): 90.00 90.00 120.00
Closest atoms and distances in Å follow each position.
Fractional positions:
Mn 0.0000 0.0000 0.0000  6 O 2.13
Mn 0.0025 0.3480 0.9643  6 O 2.09-2.33
Mn 0.0043 0.6842 0.4560  5 O 2.10-2.23
Mn 0.3158 0.3201 0.4560  5 O 2.10-2.23
Mn 0.3201 0.0043 0.5440  5 O 2.10-2.23
Mn 0.3333 0.6667 0.4980  6 O 2.23-2.24
Mn 0.3454 0.9975 0.9643  6 O 2.09-2.33
Mn 0.3480 0.3454 0.0357  6 O 2.09-2.33
Mn 0.6520 0.6546 0.9643  6 O 2.09-2.33
Mn 0.6546 0.0025 0.0357  6 O 2.09-2.33
Mn 0.6667 0.3333 0.5020  6 O 2.23-2.24
Mn 0.6799 0.9957 0.4560  5 O 2.10-2.23
Mn 0.6842 0.6799 0.5440  5 O 2.10-2.23
Mn 0.9957 0.3158 0.5440  5 O 2.10-2.23
Mn 0.9975 0.6520 0.0357  6 O 2.09-2.33
Pb 0.0000 0.0000 0.5000  12 O 2.78-3.00
Pb 0.3333 0.6667 0.9998  6 O 2.69-2.72
Pb 0.6667 0.3333 0.0002  6 O 2.69-2.72
S 0.0960 0.8721 0.7615  4 O 1.46-1.50
S 0.1072 0.5692 0.7396  4 O 1.47-1.50
S 0.1279 0.2239 0.7615  4 O 1.46-1.50
S 0.2053 0.4400 0.2578  4 O 1.47-1.50
S 0.2239 0.0960 0.2385  4 O 1.46-1.50
S 0.2347 0.7947 0.2578  4 O 1.47-1.50
S 0.4308 0.5380 0.7396  4 O 1.47-1.50
S 0.4400 0.2347 0.7422  4 O 1.47-1.50
S 0.4620 0.8928 0.7396  4 O 1.47-1.50
S 0.5380 0.1072 0.2604  4 O 1.47-1.50
S 0.5600 0.7653 0.2578  4 O 1.47-1.50
S 0.5692 0.4620 0.2604  4 O 1.47-1.50
S 0.7653 0.2053 0.7422  4 O 1.47-1.50
S 0.7761 0.9040 0.7615  4 O 1.46-1.50
S 0.7947 0.5600 0.7422  4 O 1.47-1.50
S 0.8721 0.7761 0.2385  4 O 1.46-1.50
S 0.8928 0.4308 0.2604  4 O 1.47-1.50
S 0.9040 0.1279 0.2385  4 O 1.46-1.50
O 0.0328 0.4545 0.7422  1 S 1.50
O 0.0413 0.1179 0.8055  1 S 1.49
O 0.0445 0.7872 0.8887  1 S 1.46
O 0.0552 0.8359 0.5790  1 S 1.50
O 0.0766 0.9587 0.8055  1 S 1.49
O 0.0793 0.6196 0.6011  1 S 1.47
O 0.0867 0.2976 0.7613  1 S 1.50
O 0.1067 0.6121 0.9178  1 S 1.49
O 0.1179 0.0766 0.1945  1 S 1.49
O 0.1201 0.7534 0.2396  1 S 1.50
O 0.1354 0.4089 0.4102  1 S 1.47
O 0.1534 0.4415 0.0909  1 S 1.49
O 0.1641 0.2194 0.5790  1 S 1.50
O 0.2109 0.9133 0.7613  1 S 1.50
O 0.2128 0.2573 0.8887  1 S 1.46
O 0.2139 0.5870 0.7067  1 S 1.50
O 0.2194 0.0552 0.4210  1 S 1.50
O 0.2466 0.3667 0.2396  1 S 1.50
O 0.2523 0.7052 0.2877  1 S 1.50
O 0.2573 0.0445 0.1113  1 S 1.46
O 0.2735 0.8646 0.4102  1 S 1.47
O 0.2881 0.8466 0.0909  1 S 1.49
O 0.2948 0.5471 0.2877  1 S 1.50
O 0.2976 0.2109 0.2387  1 S 1.50
O 0.3667 0.1201 0.7604  1 S 1.50
O 0.3731 0.7861 0.7067  1 S 1.50
O 0.3804 0.4597 0.6011  1 S 1.47
O 0.3879 0.4946 0.9178  1 S 1.49
O 0.4089 0.2735 0.5898  1 S 1.47
O 0.4130 0.6269 0.7067  1 S 1.50
O 0.4216 0.9672 0.7422  1 S 1.50
O 0.4415 0.2881 0.9091  1 S 1.49
O 0.4529 0.7477 0.2877  1 S 1.50
O 0.4545 0.4216 0.2578  1 S 1.50
O 0.4597 0.0793 0.3989  1 S 1.47
O 0.4946 0.1067 0.0822  1 S 1.49
O 0.5054 0.8933 0.9178  1 S 1.49
O 0.5403 0.9207 0.6011  1 S 1.47
O 0.5455 0.5784 0.7422  1 S 1.50
O 0.5471 0.2523 0.7123  1 S 1.50
O 0.5585 0.7119 0.0909  1 S 1.49
O 0.5784 0.0328 0.2578  1 S 1.50
O 0.5870 0.3731 0.2933  1 S 1.50
O 0.5911 0.7265 0.4102  1 S 1.47
O 0.6121 0.5054 0.0822  1 S 1.49
O 0.6196 0.5403 0.3989  1 S 1.47
O 0.6269 0.2139 0.2933  1 S 1.50
O 0.6333 0.8799 0.2396  1 S 1.50
O 0.7024 0.7891 0.7613  1 S 1.50
O 0.7052 0.4529 0.7123  1 S 1.50
O 0.7119 0.1534 0.9091  1 S 1.49
O 0.7265 0.1354 0.5898  1 S 1.47
O 0.7427 0.9555 0.8887  1 S 1.46
O 0.7477 0.2948 0.7123  1 S 1.50
O 0.7534 0.6333 0.7604  1 S 1.50
O 0.7806 0.9448 0.5790  1 S 1.50
O 0.7861 0.4130 0.2933  1 S 1.50
O 0.7872 0.7427 0.1113  1 S 1.46
O 0.7891 0.0867 0.2387  1 S 1.50
O 0.8359 0.7806 0.4210  1 S 1.50
O 0.8466 0.5585 0.9091  1 S 1.49
O 0.8646 0.5911 0.5898  1 S 1.47
O 0.8799 0.2466 0.7604  1 S 1.50
O 0.8821 0.9234 0.8055  1 S 1.49
O 0.8933 0.3879 0.0822  1 S 1.49
O 0.9133 0.7024 0.2387  1 S 1.50
O 0.9207 0.3804 0.3989  1 S 1.47
O 0.9234 0.0413 0.1945  1 S 1.49
O 0.9448 0.1641 0.4210  1 S 1.50
O 0.9555 0.2128 0.1113  1 S 1.46
O 0.9587 0.8821 0.1945  1 S 1.49
O 0.9672 0.5455 0.2578  1 S 1.50

=====

(2)
# MnSbPb2O8

A relaxed structure of MnSbPb2O8 (PBE with a Hubbard U, the Alexandria database).

Values from the calculation:
The calculation puts the total energy at -72.2 eV for the cell shown.

a b c (Å): 4.8670 4.8725 6.6334
angles (deg): 88.20 88.18 88.99
Closest atoms and distances in Å follow each position.
Fractional positions:
Mn 0.0000 0.0000 0.0000  4 O 1.98-2.02
Sb 0.0000 0.0000 0.5000  6 O 1.99-2.07
Pb 0.4946 0.4947 0.7541  6 O 2.17-2.24
Pb 0.5054 0.5053 0.2459  6 O 2.17-2.24
O 0.1737 0.1714 0.7465  1 Mn 2.02, 1 Sb 2.07, 1 Pb 2.24
O 0.1914 0.1884 0.2666  1 Sb 1.99, 1 Pb 2.19
O 0.2889 0.7086 0.0001  1 Mn 1.98, 2 Pb 2.17
O 0.2932 0.7033 0.5001  1 Sb 2.01, 2 Pb 2.19
O 0.7068 0.2967 0.4999  1 Sb 2.01, 2 Pb 2.19
O 0.7111 0.2914 0.9999  1 Mn 1.98, 2 Pb 2.17
O 0.8086 0.8116 0.7334  1 Sb 1.99, 1 Pb 2.19
O 0.8263 0.8286 0.2535  1 Mn 2.02, 1 Sb 2.07, 1 Pb 2.24

=====

(3)
# Mn2SbPbO6

A relaxed structure of Mn2SbPbO6 (PBE with a Hubbard U, the Alexandria database).

Values from the calculation:
The calculation puts the total energy at -67.0 eV for the cell shown.

a b c (Å): 5.3818 5.4686 5.9886
angles (deg): 63.53 65.23 61.90
Closest atoms and distances in Å follow each position.
Fractional positions:
Mn 0.0000 0.0000 0.0000  4 O 2.11-2.28
Mn 0.4875 0.4606 0.5693  4 O 1.94-2.08
Sb 0.7954 0.7887 0.6179  6 O 1.98-2.05
Pb 0.2666 0.2628 0.2058  3 O 2.39-2.45
O 0.0416 0.7166 0.8270  1 Sb 1.98, 1 Mn 2.11
O 0.1906 0.6183 0.3781  1 Mn 1.99, 1 Sb 2.05
O 0.4180 0.0675 0.7879  1 Sb 2.05, 2 Mn 2.08-2.19
O 0.6206 0.7890 0.3733  1 Mn 1.94, 1 Sb 2.05
O 0.7138 0.4059 0.8005  2 Mn 2.05-2.16, 1 Sb 2.05
O 0.8208 0.1697 0.3426  1 Sb 2.02, 1 Mn 2.19